Here is an optimized crystal structure of CeRh2Au from the Alexandria database. Energies are from PBE.

```
CeRh2Au
1.0
4.2979 0.0000 0.0000
0.0000 4.2979 0.0000
0.0000 0.0000 3.8608
Ce Rh Au
1 2 1
direct
0.0000 0.0000 0.0000 Ce
0.0000 0.5000 0.5000 Rh
0.5000 0.0000 0.5000 Rh
0.5000 0.5000 0.0000 Au
```

Results
Total magnetic moment, μB/cell: 0.000
Symmetry: P4/mmm
Formation energy, eV/atom: -0.675
Theoretical density, g/cm3: 12.64

***

Here is an optimized crystal structure of Pr2SmErSe4 from the Alexandria database. Energies are from PBE.

```
Pr2SmErSe4
1.0
7.2009 0.0000 0.0000
0.0000 4.1147 0.0000
-2.3580 0.0000 7.0068
Pr Sm Er Se
2 1 1 4
direct
0.0000 0.0000 0.0000 Pr
0.5000 0.5000 0.0000 Pr
0.0000 0.5000 0.5000 Sm
0.5000 0.0000 0.5000 Er
0.2517 0.0000 0.7369 Se
0.2621 0.5000 0.2674 Se
0.7379 0.5000 0.7326 Se
0.7483 0.0000 0.2631 Se
```

Results
Total magnetic moment, μB/cell: 0.000
Symmetry: P2/m
Formation energy (no corrections), eV per atom: -1.802
Theoretical density, g/cm3: 7.32